(1)
Computed, not measured: a geometry-optimized Sc3GaHg structure at the PBE-GGA level of DFT.

```
10
Lattice="4.772 0.000 1.091 0.000 4.896 0.000 0.392 0.000 9.270" Properties=species:S:1:pos:R:3 pbc="T T T"
Hg 2.540 3.672 6.992
Hg 0.946 1.224 2.985
Ga 4.930 1.224 7.521
Ga 3.328 3.672 3.547
Sc 2.937 1.224 5.256
Sc 1.312 3.672 1.382
Sc 2.174 1.224 8.595
Sc 0.549 3.672 4.721
Sc 4.555 3.672 9.162
Sc 3.703 1.224 1.906
```

- distance to the lowest polymorph of the same formula (eV/f.u.) = 0.00

---

(2)
Computed, not measured: a geometry-optimized NaBiN3 structure at the PBE-GGA level of DFT.

```
5
Lattice="-1.521 3.018 -2.474 -3.889 -0.953 1.229 0.322 2.743 3.148" Properties=species:S:1:pos:R:3 pbc="T T T"
Na 0.000 0.000 0.000
N 0.161 1.372 1.574
N -0.761 1.509 -1.237
N -1.944 -0.477 0.614
Bi -2.544 2.404 0.952
```

- uncorrected formation energy (meV per atom) = 2218.7

---

(3)
Computed, not measured: a geometry-optimized SiHgAs2 structure at the PBE-GGA level of DFT.

```
4
Lattice="-0.858 2.704 1.984 0.266 -1.940 2.760 7.725 1.977 0.645" Properties=species:S:1:pos:R:3 pbc="T T T"
As 6.995 1.790 0.584
As 4.592 1.175 0.383
Hg 1.635 0.876 2.533
Si 5.498 1.865 2.856
```

- uncorrected formation energy (meV per atom) = 290.9

---

(4)
Computed, not measured: a geometry-optimized SbMoPd3 structure at the PBE-GGA level of DFT.

```
5
Lattice="4.825 0.000 0.000 0.000 4.825 0.000 0.000 0.000 4.825" Properties=species:S:1:pos:R:3 pbc="T T T"
Pd 0.000 0.000 2.413
Pd 0.000 2.413 0.000
Pd 2.413 0.000 0.000
Sb 2.413 2.413 2.413
Mo 0.000 0.000 0.000
```

- distance to the lowest polymorph of the same formula (eV/f.u.) = 0.19
- uncorrected formation energy (meV per atom) = 972.1

---

(5)
Computed, not measured: a geometry-optimized Pm3Zn5O12 structure at the PBE-GGA level of DFT.

```
80
Lattice="-4.353 2.270 -9.890 10.525 -3.102 -1.235 -5.712 -8.170 4.747" Properties=species:S:1:pos:R:3 pbc="T T T"
O 1.131 -6.286 0.253
O 1.056 -6.389 -3.433
O -1.227 -4.153 1.089
O 1.687 -4.849 -7.467
O -3.286 -1.829 -2.530
O -0.563 -7.929 3.089
O 1.617 -4.001 -4.650
O 0.296 -2.054 -0.049
O -4.085 -7.214 -1.360
O 5.777 -1.209 -9.123
O -3.564 -0.381 -5.235
O 4.025 -8.621 -1.143
O 4.541 -5.127 -2.210
O -6.590 -3.311 -6.217
O -1.157 -5.000 -1.727
O 1.304 -8.545 -1.447
O -1.724 -7.911 -2.559
O 2.184 -1.090 -3.819
O 8.536 -3.656 -1.453
O -0.596 -2.612 -2.944
O -1.593 -7.369 0.511
O 2.412 -9.954 0.623
O -8.076 -5.346 -4.925
O -3.934 -5.643 1.525
O 0.164 -6.948 -6.328
O -4.081 -3.874 -4.168
O 2.053 -1.633 -6.889
O 7.050 -5.691 -0.160
O 3.746 -7.173 -3.847
O 3.864 -6.263 0.418
O 2.392 -7.648 2.266
O -1.952 0.953 -7.001
O 4.394 -3.359 -7.903
O 1.023 -1.073 -9.467
O -5.316 -7.792 2.745
O -0.671 -2.715 -6.631
O -1.932 -1.354 -8.644
O -1.404 -4.756 -4.443
O 1.864 -4.245 -1.934
O -5.268 -6.702 -3.881
O -2.858 -7.237 -5.065
O -3.404 -2.738 -6.796
O -0.844 -0.457 -4.931
O 4.344 -4.721 -4.910
O 3.318 -1.765 -1.313
O 4.545 -1.788 -5.018
O 5.729 -2.300 -2.496
O -3.884 -4.280 -1.467
Zn 0.000 0.000 0.000
Zn 0.230 -4.501 -3.189
Zn -2.856 -4.085 2.374
Zn -2.176 1.135 -4.945
Zn 5.061 -3.338 -6.075
Zn 3.086 -0.416 -5.563
Zn 0.175 -8.056 -2.954
Zn -4.747 -3.895 -5.996
Zn -4.601 -5.664 -0.303
Zn 1.171 -3.300 -6.409
Zn 0.285 -0.945 -3.424
Zn 5.262 -1.551 -0.617
Zn -1.515 -6.080 -5.865
Zn 1.975 -2.922 -0.513
Zn 2.406 -5.636 1.756
Zn 7.407 -3.168 -2.960
Zn -5.032 -2.950 -2.571
Zn -6.947 -5.834 -3.418
Zn -0.711 -5.702 0.031
Zn 5.207 -5.106 -0.382
Pm 3.518 -3.130 -3.294
Pm 4.381 -8.558 1.244
Pm 2.375 -6.118 -5.531
Pm 3.371 -1.361 -8.987
Pm -3.058 -5.872 -3.084
Pm 2.691 -6.581 -1.668
Pm 0.492 -8.520 0.910
Pm -2.911 -7.640 2.609
Pm -2.231 -2.420 -4.710
Pm -3.921 -0.444 -7.621
Pm -0.032 -0.482 -7.287
Pm -1.915 -2.884 -0.847
```

- uncorrected formation energy (meV per atom) = -1794.6

---

(6)
Computed, not measured: a geometry-optimized Pa2Co3Ge4Pt structure at the PBE-GGA level of DFT.

```
10
Lattice="4.097 0.000 0.000 0.000 4.097 0.000 0.000 0.000 9.753" Properties=species:S:1:pos:R:3 pbc="T T T"
Ge 2.048 0.000 6.280
Ge 0.000 0.000 0.000
Ge 0.000 2.048 3.473
Ge 2.048 2.048 0.000
Co 2.048 0.000 8.556
Co 0.000 2.048 1.197
Co 0.000 0.000 4.877
Pa 0.000 2.048 7.369
Pa 2.048 0.000 2.384
Pt 2.048 2.048 4.877
```

- E_tot (eV/cell) = -70.9

---

(7)
Computed, not measured: a geometry-optimized Eu2YEr structure at the PBE-GGA level of DFT.

```
4
Lattice="4.120 0.000 0.000 0.000 4.120 0.000 0.000 0.000 8.303" Properties=species:S:1:pos:R:3 pbc="T T T"
Eu 0.000 0.000 6.268
Eu 0.000 0.000 2.035
Er 2.060 2.060 0.000
Y 2.060 2.060 4.151
```

- distance to the lowest polymorph of the same formula (eV/f.u.) = 0.26

---

(8)
Computed, not measured: a geometry-optimized CaFeBr2 structure at the PBE-GGA level of DFT.

```
4
Lattice="-3.422 0.028 -0.838 -0.257 -3.381 0.955 -2.426 3.009 10.005" Properties=species:S:1:pos:R:3 pbc="T T T"
Fe -3.659 0.580 7.562
Br -0.995 1.234 4.103
Br -0.218 0.271 0.899
Ca -2.446 -0.925 2.560
```

- distance to the lowest polymorph of the same formula (eV/f.u.) = 1.01
- uncorrected formation energy (meV per atom) = -347.8

---

(9)
Computed, not measured: a geometry-optimized KZnPS2 structure at the PBE-GGA level of DFT.

```
5
Lattice="-4.364 -1.677 -3.914 -2.050 -4.084 4.036 -3.991 4.498 2.524" Properties=species:S:1:pos:R:3 pbc="T T T"
P -1.996 2.249 1.262
S -1.025 -2.042 2.018
S -2.182 -0.838 -1.957
Zn -5.203 -0.631 1.323
K 0.000 0.000 0.000
```

- distance to the lowest polymorph of the same formula (eV/f.u.) = 6.14
- uncorrected formation energy (meV per atom) = 1359.7

---

(10)
Computed, not measured: a geometry-optimized ZnB2Pt2 structure at the PBE-GGA level of DFT.

```
10
Lattice="-3.964 1.585 5.024 -5.224 -0.372 -4.004 -0.290 -2.727 0.632" Properties=species:S:1:pos:R:3 pbc="T T T"
B -6.404 0.315 -1.581
B -2.502 -0.015 -1.215
B -6.686 1.228 2.234
B -2.783 0.898 2.601
Pt -2.431 -1.043 0.651
Pt -4.972 -1.257 -1.441
Pt -4.506 -0.257 3.092
Pt -7.047 -0.472 1.000
Zn 0.000 0.000 0.000
Zn -4.594 0.606 0.510
```

- E_tot (eV/cell) = -53.9

---

(11)
Computed, not measured: a geometry-optimized YBi structure at the PBE-GGA level of DFT.

```
4
Lattice="-2.140 -4.443 -2.181 4.124 2.480 -2.433 4.032 -3.530 3.237" Properties=species:S:1:pos:R:3 pbc="T T T"
Y 2.972 -4.783 0.163
Y 3.044 -0.711 -1.540
Bi 0.956 -3.018 -1.455
Bi 5.060 -2.476 0.079
```

- E_tot (eV/cell) = -23.4

---

(12)
Computed, not measured: a geometry-optimized MgCdNi structure at the PBE-GGA level of DFT.

```
6
Lattice="-2.355 0.686 -4.487 4.730 -1.936 -0.155 -2.885 -3.541 2.574" Properties=species:S:1:pos:R:3 pbc="T T T"
Mg -0.606 -1.487 0.090
Mg 0.097 -3.303 -2.158
Cd -0.037 -0.172 -3.070
Cd 2.413 -1.078 -1.572
Ni 1.517 -3.051 0.049
Ni -2.026 -1.740 -2.117
```

- distance to the lowest polymorph of the same formula (eV/f.u.) = 0.00

---

(13)
Computed, not measured: a geometry-optimized YErAl3 structure at the PBE-GGA level of DFT.

```
10
Lattice="-3.625 1.251 -2.403 -0.087 -3.194 -1.532 -8.179 -2.984 10.784" Properties=species:S:1:pos:R:3 pbc="T T T"
Al -4.730 -1.755 -0.171
Al -3.775 -2.858 2.076
Al -8.116 -2.068 4.773
Al -8.733 -4.047 8.935
Al -3.158 -0.879 -2.086
Al -7.161 -3.172 7.020
Er -6.206 -1.004 2.446
Er -5.686 -3.923 4.403
Y -9.800 -4.579 6.006
Y -2.091 -0.347 0.843
```

- E_tot (eV/cell) = -49.1

---

(14)
Computed, not measured: a geometry-optimized ZnAsSe structure at the PBE-GGA level of DFT.

```
3
Lattice="3.096 0.000 0.000 -1.548 2.682 0.000 0.000 0.000 7.849" Properties=species:S:1:pos:R:3 pbc="T T T"
As 0.000 0.000 7.232
Se 1.548 0.894 3.246
Zn 0.000 1.788 5.220
```

- uncorrected formation energy (meV per atom) = 163.0

---

(15)
Computed, not measured: a geometry-optimized Dy12Ho7Tl structure at the PBE-GGA level of DFT.

```
20
Lattice="-6.013 -5.809 -2.051 2.888 -0.662 -8.083 5.168 -6.585 2.008" Properties=species:S:1:pos:R:3 pbc="T T T"
Dy -0.713 -6.960 -1.395
Dy 3.780 -5.201 -3.092
Dy 2.702 -6.508 -0.131
Dy 2.756 -6.097 -6.732
Dy -3.042 -5.407 -3.344
Dy -0.659 -6.549 -7.995
Dy 2.671 -2.986 -5.799
Dy -0.501 -4.236 -5.718
Dy 5.085 -7.649 -4.782
Dy -1.737 -7.856 -5.034
Dy -0.628 -10.071 -2.327
Dy 2.545 -8.821 -2.408
Ho 1.448 -11.490 -4.806
Ho 1.022 -6.528 -4.063
Ho 0.012 -9.990 -7.577
Ho -1.387 -3.285 -1.059
Ho 3.431 -9.772 -7.067
Ho 2.031 -3.067 -0.549
Ho 0.595 -1.567 -3.320
Tl 0.000 0.000 0.000
```

- E_tot (eV/cell) = -86.0

---

(16)
Computed, not measured: a geometry-optimized GaCuRePd2 structure at the PBE-GGA level of DFT.

```
5
Lattice="-2.448 1.735 -3.769 2.540 -2.856 -2.964 -3.289 -3.480 0.534" Properties=species:S:1:pos:R:3 pbc="T T T"
Re 0.000 0.000 0.000
Pd -1.224 0.867 -1.884
Pd -1.644 -1.740 0.267
Cu -1.598 -2.300 -3.099
Ga 1.270 -1.428 -1.482
```

- E_tot (eV/cell) = -23.9

---

(17)
Computed, not measured: a geometry-optimized CaInAu3 structure at the PBE-GGA level of DFT.

```
5
Lattice="5.199 0.000 0.000 0.000 5.199 0.000 0.000 0.000 5.199" Properties=species:S:1:pos:R:3 pbc="T T T"
Ca 2.600 2.600 2.600
Au 2.600 0.000 0.000
Au 0.000 2.600 0.000
Au 0.000 0.000 2.600
In 0.000 0.000 0.000
```

- E_tot (eV/cell) = -15.0

---

(18)
Computed, not measured: a geometry-optimized ErPuTh structure at the PBE-GGA level of DFT.

```
6
Lattice="5.353 0.000 0.000 2.677 4.636 0.000 2.677 1.545 8.050" Properties=species:S:1:pos:R:3 pbc="T T T"
Pu 8.030 4.636 7.137
Pu 2.677 1.545 0.913
Th 5.353 3.091 2.325
Th 5.353 3.091 5.725
Er 8.030 4.636 3.762
Er 2.677 1.545 4.288
```

- distance to the lowest polymorph of the same formula (eV/f.u.) = 1.18

---

(19)
Computed, not measured: a geometry-optimized Ti3CoTe6 structure at the PBE-GGA level of DFT.

```
20
Lattice="7.909 0.244 0.250 0.072 7.912 0.250 0.072 0.074 7.916" Properties=species:S:1:pos:R:3 pbc="T T T"
Te 7.214 1.304 2.622
Te 6.506 3.986 4.935
Te 6.907 5.770 1.118
Te 0.839 6.926 5.793
Te 3.351 1.621 4.320
Te 1.147 2.461 7.297
Te 5.618 0.962 7.053
Te 1.548 4.244 3.480
Te 4.209 3.443 1.716
Te 3.844 4.788 6.699
Te 2.435 7.269 1.362
Te 4.703 6.609 4.095
Co 0.000 0.000 0.000
Co 4.027 4.115 4.208
Ti 7.477 6.547 3.702
Ti 3.392 7.552 6.628
Ti 1.670 4.699 0.718
Ti 0.577 1.683 4.713
Ti 6.383 3.532 7.697
Ti 4.661 0.678 1.787
```

- uncorrected formation energy (meV per atom) = -385.9

---

(20)
Computed, not measured: a geometry-optimized SbOsBr2 structure at the PBE-GGA level of DFT.

```
4
Lattice="6.905 0.009 0.008 4.441 5.288 -0.008 -5.204 -3.653 2.693" Properties=species:S:1:pos:R:3 pbc="T T T"
Sb 3.380 2.573 1.342
Br 2.902 -0.864 1.351
Br 11.248 5.251 0.000
Os 5.631 2.629 0.000
```

- distance to the lowest polymorph of the same formula (eV/f.u.) = 1.04
- uncorrected formation energy (meV per atom) = 539.6

---

(21)
Computed, not measured: a geometry-optimized Ba2MnAs3Pd4 structure at the PBE-GGA level of DFT.

```
10
Lattice="-2.148 3.908 -0.664 -3.949 -2.044 0.746 0.808 2.193 10.287" Properties=species:S:1:pos:R:3 pbc="T T T"
Mn -2.645 2.028 5.184
Ba -0.875 2.494 2.202
Ba -1.365 0.631 8.126
Pd -1.672 -0.202 4.218
Pd 0.000 0.000 0.000
Pd -3.049 0.932 0.041
Pd -0.568 3.327 6.110
As -1.873 -0.747 1.663
As 0.404 1.096 5.143
As -0.367 3.872 8.665
```

- E_tot (eV/cell) = -54.1

---

(22)
Computed, not measured: a geometry-optimized FeSbTe2S structure at the PBE-GGA level of DFT.

```
5
Lattice="5.150 0.000 0.000 0.000 5.150 0.000 0.000 0.000 5.175" Properties=species:S:1:pos:R:3 pbc="T T T"
Fe 2.575 2.575 2.588
Te 0.000 2.575 0.000
Te 2.575 0.000 0.000
S 0.000 0.000 0.000
Sb 0.000 0.000 2.588
```

- distance to the lowest polymorph of the same formula (eV/f.u.) = 3.34
- uncorrected formation energy (meV per atom) = 1231.9